## MnRe2Br (GGA-PBEsol)

Data for a geometry-optimized MnRe2Br structure.

## Properties
Calculated density (g/cm³): 13.73
Formation energy from raw total energies (meV/atom): 765
Volume (A^3/atom): 15.3
Energy above the most stable polymorph in this dataset (eV/atom): 0.212
Spin magnetization (μB per atom): 0.5192

Cell lengths 2.8868, 4.2285, 5.2606 Å; angles 96.12, 105.93, 90.00 degrees
With the nearest neighbours (Å) after each atom.
Sites, in units of the cell vectors:
Mn1 0.0000 0.5000 0.0000  4 Br 2.56, 4 Re 2.65
Br1 0.5000 0.0000 0.0000  2 Re 2.55, 4 Mn 2.56
Re1 0.7102 0.7169 0.4205  4 Re 2.53-2.84, 1 Br 2.55, 2 Mn 2.65
Re2 0.2898 0.2831 0.5795  4 Re 2.53-2.84, 1 Br 2.55, 2 Mn 2.65

=====

## Mn2ReBr (GGA-PBEsol)

Data for a geometry-optimized Mn2ReBr structure.

## Properties
Calculated density (g/cm³): 10.38
Formation energy from raw total energies (meV/atom): 605
Volume (A^3/atom): 15.0
Energy above the most stable polymorph in this dataset (eV/atom): 0.097
Spin magnetization (μB per atom): 1.1168

Cell lengths 2.9627, 2.9627, 6.8502 Å; angles 90.00, 90.00, 90.00 degrees
With the nearest neighbours (Å) after each atom.
Sites, in units of the cell vectors:
Br1 0.5000 0.5000 0.7680  4 Mn 2.75, 4 Br 2.96, 4 Re 3.06
Mn1 0.0000 0.0000 0.0289  4 Mn 2.63, 4 Br 2.75, 1 Re 2.83
Mn2 0.5000 0.5000 0.2610  4 Re 2.43, 4 Mn 2.63
Re1 0.0000 0.0000 0.4421  4 Mn 2.43

=====

## Mn2ReBr (GGA-PBEsol)

Data for a geometry-optimized Mn2ReBr structure.

## Properties
Calculated density (g/cm³): 10.25
Formation energy from raw total energies (meV/atom): 508
Volume (A^3/atom): 15.2
Energy above the most stable polymorph in this dataset (eV/atom): 0.000
Spin magnetization (μB per atom): 1.3363

Cell lengths 2.9274, 2.9274, 7.1103 Å; angles 90.00, 90.00, 90.00 degrees
With the nearest neighbours (Å) after each atom.
Sites, in units of the cell vectors:
Re1 0.5000 0.5000 0.0000  8 Mn 2.60
Mn1 0.0000 0.0000 0.2219  4 Re 2.60, 4 Br 2.86
Mn2 0.0000 0.0000 0.7781  4 Re 2.60, 4 Br 2.86
Br1 0.5000 0.5000 0.5000  8 Mn 2.86, 4 Br 2.93

=====

## Mn3ReBr (GGA-PBEsol)

Data for a geometry-optimized Mn3ReBr structure.

## Properties
Calculated density (g/cm³): 8.98
Formation energy from raw total energies (meV/atom): 1688
Volume (A^3/atom): 15.9
Spin magnetization (μB per atom): 1.4889

Cell lengths 4.3028, 4.3028, 4.3028 Å; angles 90.00, 90.00, 90.00 degrees
With the nearest neighbours (Å) after each atom.
Sites, in units of the cell vectors:
Br1 0.0000 0.0000 0.0000  6 Mn 2.15
Mn1 0.0000 0.0000 0.5000  2 Br 2.15
Mn2 0.5000 0.0000 0.0000  2 Br 2.15
Mn3 0.0000 0.5000 0.0000  2 Br 2.15
Re1 0.5000 0.5000 0.5000  12 Mn 3.04

=====

## Mn2ReSnBr (GGA-PBEsol)

Data for a geometry-optimized Mn2ReSnBr structure.

## Properties
Calculated density (g/cm³): 5.63
Formation energy from raw total energies (meV/atom): 2210
Volume (A^3/atom): 29.2
Spin magnetization (μB per atom): 2.7898

Cell lengths 5.5722, 5.1166, 5.1166 Å; angles 90.00, 90.00, 90.00 degrees
With the nearest neighbours (Å) after each atom.
Sites, in units of the cell vectors:
Mn1 0.0000 0.0000 0.5000  2 Sn 2.56
Mn2 0.0000 0.5000 0.0000  2 Sn 2.56
Re1 0.5000 0.5000 0.5000  4 Br 3.62, 8 Mn 3.78
Br1 0.5000 0.0000 0.0000  2 Sn 2.79
Sn1 0.0000 0.0000 0.0000  4 Mn 2.56, 2 Br 2.79

=====

## MnRhBr (GGA-PBEsol)

Data for a geometry-optimized MnRhBr structure.

## Properties
Calculated density (g/cm³): 7.90
Formation energy from raw total energies (meV/atom): 250
Volume (A^3/atom): 16.7
Energy above the most stable polymorph in this dataset (eV/atom): 0.000
Spin magnetization (μB per atom): 1.2931

Cell lengths 3.1834, 3.1834, 5.6951 Å; angles 90.00, 90.00, 120.00 degrees
With the nearest neighbours (Å) after each atom.
Sites, in units of the cell vectors:
Mn1 0.3333 0.6667 0.6534  3 Rh 2.45, 3 Br 2.60
Br1 0.0000 0.0000 0.9765  3 Mn 2.60, 3 Rh 2.90
Rh1 0.6667 0.3333 0.3701  3 Mn 2.45

=====

## MnRhBr (GGA-PBEsol)

Data for a geometry-optimized MnRhBr structure.

## Properties
Calculated density (g/cm³): 8.52
Formation energy from raw total energies (meV/atom): 694
Volume (A^3/atom): 15.4
Energy above the most stable polymorph in this dataset (eV/atom): 0.445
Spin magnetization (μB per atom): 0.0000

Cell lengths 4.0319, 4.0319, 4.0319 Å; angles 60.00, 60.00, 60.00 degrees
With the nearest neighbours (Å) after each atom.
Sites, in units of the cell vectors:
Mn1 0.2500 0.2500 0.2500  4 Br 2.47, 4 Rh 2.47
Rh1 0.0000 0.0000 0.0000  4 Mn 2.47
Br1 0.5000 0.5000 0.5000  4 Mn 2.47

=====

## Mn2RuBr (GGA-PBEsol)

Data for a geometry-optimized Mn2RuBr structure.

## Properties
Calculated density (g/cm³): 8.27
Formation energy from raw total energies (meV/atom): 510
Volume (A^3/atom): 14.6
Energy above the most stable polymorph in this dataset (eV/atom): 0.129
Spin magnetization (μB per atom): 1.2709

Cell lengths 2.9712, 2.9712, 6.6185 Å; angles 90.00, 90.00, 90.00 degrees
With the nearest neighbours (Å) after each atom.
Sites, in units of the cell vectors:
Mn1 0.5000 0.5000 0.2600  4 Ru 2.44, 4 Mn 2.62
Mn2 0.0000 0.0000 0.0239  4 Mn 2.62, 4 Br 2.70, 1 Ru 2.81
Br1 0.5000 0.5000 0.7679  4 Mn 2.70, 4 Br 2.97, 4 Ru 2.98
Ru1 0.0000 0.0000 0.4483  4 Mn 2.44

=====

## MnRuBr (GGA-PBEsol)

Data for a geometry-optimized MnRuBr structure.

## Properties
Calculated density (g/cm³): 8.20
Formation energy from raw total energies (meV/atom): 496
Volume (A^3/atom): 15.9
Energy above the most stable polymorph in this dataset (eV/atom): 0.000
Spin magnetization (μB per atom): 1.0876

Cell lengths 3.0821, 3.0821, 5.8106 Å; angles 90.00, 90.00, 120.00 degrees
With the nearest neighbours (Å) after each atom.
Sites, in units of the cell vectors:
Ru1 0.6667 0.3333 0.3663  3 Mn 2.44
Br1 0.0000 0.0000 0.9798  3 Mn 2.60, 3 Ru 2.87
Mn1 0.3333 0.6667 0.6538  3 Ru 2.44, 3 Br 2.60

=====

## Mn2RuBr (GGA-PBEsol)

Data for a geometry-optimized Mn2RuBr structure.

## Properties
Calculated density (g/cm³): 7.97
Formation energy from raw total energies (meV/atom): 780
Volume (A^3/atom): 15.2
Energy above the most stable polymorph in this dataset (eV/atom): 0.399
Spin magnetization (μB per atom): 2.0119

Cell lengths 3.0188, 4.4815, 4.4815 Å; angles 90.00, 90.00, 90.00 degrees
With the nearest neighbours (Å) after each atom.
Sites, in units of the cell vectors:
Mn1 0.0000 0.0000 0.5000  4 Ru 2.70, 4 Br 2.70, 2 Mn 3.02
Mn2 0.0000 0.5000 0.0000  4 Ru 2.70, 4 Br 2.70, 2 Mn 3.02
Br1 0.5000 0.0000 0.0000  8 Mn 2.70, 2 Br 3.02
Ru1 0.5000 0.5000 0.5000  8 Mn 2.70, 2 Ru 3.02

=====

## Mn2RuBr (GGA-PBEsol)

Data for a geometry-optimized Mn2RuBr structure.

## Properties
Calculated density (g/cm³): 8.38
Formation energy from raw total energies (meV/atom): 779
Volume (A^3/atom): 14.4
Energy above the most stable polymorph in this dataset (eV/atom): 0.398
Spin magnetization (μB per atom): 0.0334

Cell lengths 4.3364, 4.3364, 4.3364 Å; angles 60.00, 60.00, 60.00 degrees
With the nearest neighbours (Å) after each atom.
Sites, in units of the cell vectors:
Mn1 0.0000 0.0000 0.0000  4 Mn 2.66, 4 Ru 2.66
Mn2 0.7500 0.7500 0.7500  4 Mn 2.66, 4 Br 2.66
Ru1 0.2500 0.2500 0.2500  4 Mn 2.66, 4 Br 2.66
Br1 0.5000 0.5000 0.5000  4 Ru 2.66, 4 Mn 2.66

=====

## MnRuBr (GGA-PBEsol)

Data for a geometry-optimized MnRuBr structure.

## Properties
Calculated density (g/cm³): 8.47
Formation energy from raw total energies (meV/atom): 602
Volume (A^3/atom): 15.4
Energy above the most stable polymorph in this dataset (eV/atom): 0.106
Spin magnetization (μB per atom): 0.8786

Cell lengths 2.9763, 2.9763, 5.6293 Å; angles 105.33, 105.33, 90.00 degrees
With the nearest neighbours (Å) after each atom.
Sites, in units of the cell vectors:
Br1 0.9981 0.9981 0.9963  4 Mn 2.83, 4 Ru 2.86, 4 Br 2.98
Mn1 0.3176 0.3176 0.6351  4 Ru 2.52
Ru1 0.6843 0.6843 0.3686  4 Mn 2.52

=====

## MnRuBr2 (GGA-PBEsol)

Data for a geometry-optimized MnRuBr2 structure.

## Properties
Calculated density (g/cm³): 6.14
Formation energy from raw total energies (meV/atom): 362
Volume (A^3/atom): 21.4
Energy above the most stable polymorph in this dataset (eV/atom): 0.038
Spin magnetization (μB per atom): 1.2008

Cell lengths 3.6636, 3.1979, 7.6904 Å; angles 102.00, 103.78, 90.00 degrees
With the nearest neighbours (Å) after each atom.
Sites, in units of the cell vectors:
Mn1 0.4338 0.4338 0.8677  2 Ru 2.55, 4 Br 2.74
Br1 0.7492 0.2492 0.4983  4 Ru 2.53
Br2 0.0197 0.0197 0.0395  4 Mn 2.74
Ru1 0.2973 0.7973 0.5945  4 Br 2.53, 2 Mn 2.55

=====

## MnRuBr2 (GGA-PBEsol)

Data for a geometry-optimized MnRuBr2 structure.

## Properties
Calculated density (g/cm³): 7.00
Formation energy from raw total energies (meV/atom): 324
Volume (A^3/atom): 18.7
Energy above the most stable polymorph in this dataset (eV/atom): 0.000
Spin magnetization (μB per atom): 0.5802

Cell lengths 3.0901, 3.0901, 7.8453 Å; angles 90.00, 90.00, 90.00 degrees
With the nearest neighbours (Å) after each atom.
Sites, in units of the cell vectors:
Br1 0.5000 0.5000 0.3237  4 Mn 2.72
Br2 0.0000 0.0000 0.9288  4 Ru 2.74
Ru1 0.5000 0.5000 0.7179  4 Mn 2.64, 4 Br 2.74
Mn1 0.0000 0.0000 0.5295  4 Ru 2.64, 4 Br 2.72

=====

## Mn2RuBr (GGA-PBEsol)

Data for a geometry-optimized Mn2RuBr structure.

## Properties
Calculated density (g/cm³): 7.33
Formation energy from raw total energies (meV/atom): 382
Volume (A^3/atom): 16.5
Energy above the most stable polymorph in this dataset (eV/atom): 0.000
Spin magnetization (μB per atom): 1.8737

Cell lengths 3.0098, 3.0600, 7.1580 Å; angles 90.00, 90.00, 90.00 degrees
With the nearest neighbours (Å) after each atom.
Sites, in units of the cell vectors:
Mn1 0.0000 0.5000 0.7965  4 Ru 2.59, 2 Br 2.60
Mn2 0.0000 0.5000 0.2035  4 Ru 2.59, 2 Br 2.60
Br1 0.5000 0.5000 0.5000  4 Mn 2.60
Ru1 0.5000 0.0000 0.0000  8 Mn 2.59

=====

## Mn2RuBr (GGA-PBEsol)

Data for a geometry-optimized Mn2RuBr structure.

## Properties
Calculated density (g/cm³): 7.42
Formation energy from raw total energies (meV/atom): 466
Volume (A^3/atom): 16.3
Energy above the most stable polymorph in this dataset (eV/atom): 0.085
Spin magnetization (μB per atom): 2.0391

Cell lengths 3.0553, 3.0553, 6.9706 Å; angles 90.00, 90.00, 90.00 degrees
With the nearest neighbours (Å) after each atom.
Sites, in units of the cell vectors:
Mn1 0.0000 0.0000 0.2082  4 Ru 2.60, 1 Mn 2.90
Mn2 0.0000 0.0000 0.7918  4 Ru 2.60, 1 Mn 2.90
Ru1 0.5000 0.5000 0.0000  8 Mn 2.60
Br1 0.5000 0.5000 0.5000  8 Mn 2.97, 4 Br 3.06

=====

## MnSBr3 (GGA-PBEsol)

Data for a geometry-optimized MnSBr3 structure.

## Properties
Calculated density (g/cm³): 4.08
Formation energy from raw total energies (meV/atom): 470
Volume (A^3/atom): 26.6
Spin magnetization (μB per atom): 1.1137

Cell lengths 5.1053, 5.1053, 5.1053 Å; angles 90.00, 90.00, 90.00 degrees
With the nearest neighbours (Å) after each atom.
Sites, in units of the cell vectors:
Mn1 0.5000 0.5000 0.5000  12 Br 3.61
Br1 0.5000 0.0000 0.0000  2 S 2.55
Br2 0.0000 0.0000 0.5000  2 S 2.55
Br3 0.0000 0.5000 0.0000  2 S 2.55
S1 0.0000 0.0000 0.0000  6 Br 2.55

=====

## MnSbS2Br (GGA-PBEsol)

Data for a geometry-optimized MnSbS2Br structure.

## Properties
Calculated density (g/cm³): 4.86
Formation energy from raw total energies (meV/atom): -459
Volume (A^3/atom): 21.9
Spin magnetization (μB per atom): 1.0003

Cell lengths 3.8109, 6.4835, 9.2910 Å; angles 91.48, 90.00, 107.09 degrees
With the nearest neighbours (Å) after each atom.
Sites, in units of the cell vectors:
Mn1 0.0000 0.0000 0.5000  2 S 2.53, 4 Br 2.63
Mn2 0.0000 0.0000 0.0000  6 S 2.46-2.60
S1 0.6385 0.2769 0.0538  1 Sb 2.52, 2 Mn 2.60
S2 0.9272 0.8543 0.2435  2 Mn 2.46-2.53, 2 Sb 2.62
S3 0.3615 0.7231 0.9462  1 Sb 2.52, 2 Mn 2.60
S4 0.0728 0.1457 0.7565  2 Mn 2.46-2.53, 2 Sb 2.62
Br1 0.3643 0.7285 0.5672  2 Mn 2.63
Br2 0.6357 0.2715 0.4328  2 Mn 2.63
Sb1 0.2859 0.5718 0.1951  3 S 2.52-2.62
Sb2 0.7141 0.4282 0.8049  3 S 2.52-2.62

=====

## MnW2SBr (GGA-PBEsol)

Data for a geometry-optimized MnW2SBr structure.

## Properties
Calculated density (g/cm³): 10.31
Formation energy from raw total energies (meV/atom): 1380
Volume (A^3/atom): 17.2
Spin magnetization (μB per atom): 0.0003

Cell lengths 4.0095, 4.6337, 4.6337 Å; angles 90.00, 90.00, 90.00 degrees
With the nearest neighbours (Å) after each atom.
Sites, in units of the cell vectors:
S1 0.5000 0.0000 0.0000  2 Mn 2.00
W1 0.0000 0.5000 0.0000  2 Mn 2.32
W2 0.0000 0.0000 0.5000  2 Mn 2.32
Mn1 0.0000 0.0000 0.0000  2 S 2.00
Br1 0.5000 0.5000 0.5000  8 W 3.06, 4 S 3.28

=====

## Mn2SbBr (GGA-PBEsol)

Data for a geometry-optimized Mn2SbBr structure.

## Properties
Calculated density (g/cm³): 6.46
Formation energy from raw total energies (meV/atom): 103
Volume (A^3/atom): 20.0
Energy above the most stable polymorph in this dataset (eV/atom): 0.000
Spin magnetization (μB per atom): 1.7672

Cell lengths 3.3451, 3.3451, 7.1567 Å; angles 90.00, 90.00, 90.00 degrees
With the nearest neighbours (Å) after each atom.
Sites, in units of the cell vectors:
Sb1 0.0000 0.0000 0.4074  5 Mn 2.71-2.74
Mn1 0.5000 0.5000 0.2227  1 Br 2.70, 4 Sb 2.71, 4 Mn 2.76
Mn2 0.0000 0.0000 0.0245  4 Br 2.69, 1 Sb 2.74, 4 Mn 2.76
Br1 0.5000 0.5000 0.8454  5 Mn 2.69-2.70